First-principles (PBE) data for crystalline MgFe2B2 at its relaxed geometry, as listed in the Alexandria database.

Cell lengths 5.8112, 5.8112, 2.7060 Å; angles 90.00, 90.00, 90.00 degrees
Space group P4/mbm (No. 127)
Symmetry-distinct sites (fractional):
Mg 0.0000 0.0000 0.0000 [2 per cell]
Fe 0.1600 0.3400 0.5000 [4 per cell]
B 0.1149 0.6149 0.0000 [4 per cell]

Calculated values
V, Å³/f.u.: 46
Calculated total energy, eV/cell: -64.75
Density of states at the Fermi level, states/eV/cell: 6.94

=====

First-principles (PBE) data for crystalline MnZnNi4 at its relaxed geometry, as listed in the Alexandria database.

Cell lengths 8.1510, 3.5057, 5.1521 Å; angles 90.00, 109.71, 90.00 degrees
Space group C2/m (No. 12)
Symmetry-distinct sites (fractional):
Mn 0.0000 0.0000 0.0000 [2 per cell]
Zn 0.0000 0.0000 0.5000 [2 per cell]
Ni 0.1670 0.5000 0.3306 [4 per cell]
Ni 0.1680 0.5000 0.8343 [4 per cell]

Calculated values
V, Å³/f.u.: 69
Calculated total energy, eV/cell: -68.19
Density of states at the Fermi level, states/eV/cell: 16.01

=====

First-principles (PBE) data for crystalline NiMoC3 at its relaxed geometry, as listed in the Alexandria database.

Cell lengths 4.0382, 4.0382, 4.0382 Å; angles 90.00, 90.00, 90.00 degrees
Space group Pm-3m (No. 221)
Symmetry-distinct sites (fractional):
Ni 0.0000 0.0000 0.0000 [1 per cell]
Mo 0.5000 0.5000 0.5000 [1 per cell]
C 0.0000 0.5000 0.5000 [3 per cell]

Calculated values
V, Å³/f.u.: 66
Calculated total energy, eV/cell: -33.22
Density of states at the Fermi level, states/eV/cell: 5.17

=====

First-principles (PBE) data for crystalline NbSnN2F at its relaxed geometry, as listed in the Alexandria database.

Cell lengths 4.1590, 4.1590, 3.9442 Å; angles 90.00, 90.00, 90.00 degrees
Space group P4/mmm (No. 123)
Symmetry-distinct sites (fractional):
Nb 0.0000 0.0000 0.0000 [1 per cell]
Sn 0.5000 0.5000 0.5000 [1 per cell]
N 0.0000 0.5000 0.5000 [2 per cell]
F 0.5000 0.5000 0.0000 [1 per cell]

Calculated values
V, Å³/f.u.: 68
Calculated total energy, eV/cell: -30.35
Excess energy over the best structure of this formula in the dataset, meV/atom: 1012.2
Density of states at the Fermi level, states/eV/cell: 3.09

=====

First-principles (PBE) data for crystalline SnSbMoI2 at its relaxed geometry, as listed in the Alexandria database.

Cell lengths 5.9203, 5.9203, 5.9310 Å; angles 90.00, 90.00, 90.00 degrees
Space group P4/mmm (No. 123)
Symmetry-distinct sites (fractional):
Sn 0.0000 0.0000 0.0000 [1 per cell]
Sb 0.0000 0.0000 0.5000 [1 per cell]
Mo 0.5000 0.5000 0.5000 [1 per cell]
I 0.0000 0.5000 0.0000 [2 per cell]

Calculated values
V, Å³/f.u.: 208
Calculated total energy, eV/cell: -16.56
Excess energy over the best structure of this formula in the dataset, meV/atom: 548.0
Density of states at the Fermi level, states/eV/cell: 3.48

=====

First-principles (PBE) data for crystalline Nb2InW at its relaxed geometry, as listed in the Alexandria database.

Cell lengths 3.3669, 3.3669, 6.5372 Å; angles 90.00, 90.00, 90.00 degrees
Space group P4/mmm (No. 123)
Symmetry-distinct sites (fractional):
Nb 0.0000 0.0000 0.2241 [2 per cell]
In 0.5000 0.5000 0.5000 [1 per cell]
W 0.5000 0.5000 0.0000 [1 per cell]

Calculated values
V, Å³/f.u.: 74
Calculated total energy, eV/cell: -35.65
Density of states at the Fermi level, states/eV/cell: 2.51

=====

First-principles (PBE) data for crystalline TaTcAu2 at its relaxed geometry, as listed in the Alexandria database.

Cell lengths 3.3488, 4.6263, 8.9779 Å; angles 90.00, 90.00, 90.00 degrees
Space group Cmm2 (No. 35)
Symmetry-distinct sites (fractional):
Ta 0.0000 0.0000 0.0000 [2 per cell]
Tc 0.0000 0.5000 0.7785 [2 per cell]
Au 0.0000 0.0000 0.5225 [2 per cell]
Au 0.0000 0.5000 0.2540 [2 per cell]

Calculated values
V, Å³/f.u.: 70
Calculated total energy, eV/cell: -57.10
Excess energy over the best structure of this formula in the dataset, meV/atom: 92.8
Density of states at the Fermi level, states/eV/cell: 3.77

=====

First-principles (PBE) data for crystalline LaDy2Pb2 at its relaxed geometry, as listed in the Alexandria database.

Cell lengths 6.4858, 6.4859, 7.9894 Å; angles 77.35, 77.33, 80.39 degrees
Space group P-1 (No. 2)
Symmetry-distinct sites (fractional):
La 0.1228 0.3766 0.2501 [2 per cell]
Dy 0.2912 0.9026 0.9623 [2 per cell]
Dy 0.4029 0.7910 0.4625 [2 per cell]
Pb 0.0603 0.1314 0.6602 [2 per cell]
Pb 0.3688 0.4396 0.8401 [2 per cell]

Calculated values
V, Å³/f.u.: 159
Calculated total energy, eV/cell: -47.72
Density of states at the Fermi level, states/eV/cell: 10.14

=====

First-principles (PBE) data for crystalline YTc2AgBr at its relaxed geometry, as listed in the Alexandria database.

Cell lengths 5.0280, 5.0280, 5.0827 Å; angles 90.00, 90.00, 90.00 degrees
Space group P4/mmm (No. 123)
Symmetry-distinct sites (fractional):
Y 0.0000 0.0000 0.0000 [1 per cell]
Tc 0.0000 0.5000 0.5000 [2 per cell]
Ag 0.5000 0.5000 0.5000 [1 per cell]
Br 0.5000 0.5000 0.0000 [1 per cell]

Calculated values
V, Å³/f.u.: 128
Calculated total energy, eV/cell: -24.31
Density of states at the Fermi level, states/eV/cell: 5.38

=====

First-principles (PBE) data for crystalline RbZrH3 at its relaxed geometry, as listed in the Alexandria database.

Cell lengths 4.2418, 4.2418, 4.2418 Å; angles 90.00, 90.00, 90.00 degrees
Space group Pm-3m (No. 221)
Symmetry-distinct sites (fractional):
Rb 0.0000 0.0000 0.0000 [1 per cell]
Zr 0.5000 0.5000 0.5000 [1 per cell]
H 0.0000 0.5000 0.5000 [3 per cell]

Calculated values
V, Å³/f.u.: 76
Calculated total energy, eV/cell: -19.53
Excess energy over the best structure of this formula in the dataset, meV/atom: 0.0
Density of states at the Fermi level, states/eV/cell: 3.30

=====

First-principles (PBE) data for crystalline CsNaGa2Pt at its relaxed geometry, as listed in the Alexandria database.

Cell lengths 4.9170, 4.9170, 5.7999 Å; angles 90.00, 90.00, 90.00 degrees
Space group P4/mmm (No. 123)
Symmetry-distinct sites (fractional):
Cs 0.0000 0.0000 0.0000 [1 per cell]
Na 0.5000 0.5000 0.0000 [1 per cell]
Ga 0.0000 0.5000 0.5000 [2 per cell]
Pt 0.5000 0.5000 0.5000 [1 per cell]

Calculated values
V, Å³/f.u.: 140
Calculated total energy, eV/cell: -15.77
Excess energy over the best structure of this formula in the dataset, meV/atom: 0.0
Density of states at the Fermi level, states/eV/cell: 1.13

=====

First-principles (PBE) data for crystalline Tb2CeEr3Tm6 at its relaxed geometry, as listed in the Alexandria database.

Cell lengths 6.0835, 10.5259, 11.6061 Å; angles 90.00, 100.06, 90.00 degrees
Space group C2/m (No. 12)
Symmetry-distinct sites (fractional):
Tb 0.0000 0.1666 0.0000 [4 per cell]
Ce 0.0000 0.5000 0.0000 [2 per cell]
Er 0.0000 0.0000 0.5000 [2 per cell]
Er 0.0000 0.3326 0.5000 [4 per cell]
Tm 0.2468 0.5000 0.7488 [4 per cell]
Tm 0.2501 0.1655 0.7490 [8 per cell]

Calculated values
V, Å³/f.u.: 366
Calculated total energy, eV/cell: -110.47
Density of states at the Fermi level, states/eV/cell: 39.10